Below is KCrBiF6 after structural relaxation, with properties calculated at the GGA+U level.

a = 6.062 Å, b = 6.062 Å, c = 10.469 Å
α = 90.00°, β = 90.00°, γ = 120.00°
Each line ends with the local moment (μB).
Sites, in units of the cell vectors:
F 0.616 0.973 0.354  0.00
F 0.027 0.384 0.146  0.00
F 0.973 0.616 0.854  0.00
F 0.973 0.357 0.646  0.00
F 0.643 0.616 0.646  0.00
F 0.027 0.643 0.354  0.00
F 0.357 0.384 0.354  0.00
F 0.384 0.027 0.646  0.00
F 0.616 0.643 0.146  0.00
F 0.357 0.973 0.146  0.00
F 0.384 0.357 0.854  0.00
F 0.643 0.027 0.854  0.00
Bi 0.667 0.333 0.250  0.13
Bi 0.333 0.667 0.750  0.13
Cr 0.333 0.667 0.250  3.68
Cr 0.667 0.333 0.750  3.68
K 0.000 0.000 0.500  0.00
K 0.000 0.000 0.000  0.00

Output
Electronic total energy = -5.1312 eV/atom
Magnetization = 4.00 μB per formula unit